#P
Rb2CoAu | the Alexandria database | GGA-PBE | optimized geometry; symmetry = Fm-3m (225)
1.0
-2.2007 -4.0405 3.7770
-4.6140 -3.3916 -1.6257
0.7977 -5.8042 -1.0535
Rb Co Au
2 1 1
Direct
0.2500 0.2500 0.2500
0.7500 0.7500 0.7500
0.0000 0.0000 0.0000
0.5000 0.5000 0.5000



#Q
Rb2CoAu | the Alexandria database | GGA-PBE | optimized geometry; symmetry = I-42d (122)
1.0
-1.7369 -7.7330 4.8168
-2.9051 -4.1775 -7.7542
1.6507 -7.3172 -2.2230
Rb Au Co
4 2 2
Direct
0.3750 0.3625 0.7500
0.8750 0.8875 0.7500
0.1125 0.6250 0.2500
0.6375 0.1250 0.2500
0.7500 0.2500 0.5000
0.0000 0.0000 0.0000
0.5000 0.5000 0.0000
0.2500 0.7500 0.5000



On energetic grounds, #P is preferred over the next structure by 44 meV per atom.



#P
CoReAu | the Alexandria database | GGA-PBE | optimized geometry; symmetry = I4mm (107)
1.0
6.0491 -0.0105 0.0110
5.4268 2.6724 0.0163
0.6223 0.1391 2.6793
Re Au Co
1 1 1
Direct
0.6858 0.6858 0.3142
0.9952 0.9952 0.0048
0.3190 0.3190 0.6810



#Q
CoReAu | the Alexandria database | GGA-PBE | optimized geometry; symmetry = Imm2 (44)
1.0
4.8582 -0.0122 -0.0009
2.6810 4.0514 0.0009
-3.4429 -2.6294 2.1988
Au Co Re
1 1 1
Direct
0.9982 0.9982 0.0000
0.3147 0.3147 0.0000
0.6871 0.6871 0.0000



#R
CoReAu | the Alexandria database | GGA-PBE | optimized geometry; symmetry = F-43m (216)
1.0
4.0723 0.0000 0.0000
2.0361 3.5267 0.0000
2.0361 1.1756 3.3250
Re Au Co
1 1 1
Direct
0.0000 0.0000 0.0000
0.5000 0.5000 0.5000
0.7500 0.7500 0.7500



#S
CoReAu | the Alexandria database | GGA-PBE | optimized geometry; symmetry = P3m1 (156)
1.0
-0.4654 2.5231 -0.9973
-1.6899 -2.0719 -0.6545
-3.8141 1.4165 5.3637
Au Co Re
1 1 1
Direct
0.0000 0.0000 0.0111
0.6667 0.3333 0.3507
0.3333 0.6667 0.6383



On energetic grounds, #P is preferred over the next structure by 40 meV per atom.



#P
CoRe2Au2 | the Alexandria database | GGA-PBE | optimized geometry; symmetry = I4/mmm (139)
1.0
3.6403 0.0000 0.0000
0.0000 3.6403 0.0000
1.8201 1.8201 6.6424
Au Co Re
2 1 2
Direct
0.7500 0.2500 0.5000
0.2500 0.7500 0.5000
0.0000 0.0000 0.0000
0.4144 0.4144 0.1711
0.5856 0.5856 0.8289



#Q
CoRe2Au2 | the Alexandria database | GGA-PBE | optimized geometry; symmetry = P4/mbm (127)
1.0
6.2426 0.0000 0.0000
0.0000 6.2426 0.0000
0.0000 0.0000 4.2948
Re Co Au
4 2 4
Direct
0.3652 0.8652 0.0000
0.6348 0.1348 0.0000
0.1348 0.3652 0.0000
0.8652 0.6348 0.0000
0.0000 0.0000 0.0000
0.5000 0.5000 0.0000
0.6690 0.8310 0.5000
0.8310 0.3310 0.5000
0.1690 0.6690 0.5000
0.3310 0.1690 0.5000



On energetic grounds, #Q is preferred over the next structure by 269 meV per atom.



#P
CoRh2Au2 | the Alexandria database | GGA-PBE | optimized geometry; symmetry = I4/mmm (139)
1.0
6.0406 2.6940 2.5598
4.0276 5.7158 -1.1863
-6.3857 -2.8799 1.1082
Co Au Rh
1 2 2
Direct
0.0000 0.0000 0.0000
0.7500 0.2500 0.5000
0.2500 0.7500 0.5000
0.4080 0.4080 0.0000
0.5920 0.5920 0.0000



#Q
CoRh2Au2 | the Alexandria database | GGA-PBE | optimized geometry; symmetry = P4/mbm (127)
1.0
6.2769 0.0000 0.0000
0.0000 6.2769 0.0000
0.0000 0.0000 4.1998
Au Rh Co
4 4 2
Direct
0.6650 0.8350 0.5000
0.3350 0.1650 0.5000
0.8350 0.3350 0.5000
0.1650 0.6650 0.5000
0.3593 0.8593 0.0000
0.6407 0.1407 0.0000
0.1407 0.3593 0.0000
0.8593 0.6407 0.0000
0.0000 0.0000 0.0000
0.5000 0.5000 0.0000



On energetic grounds, #Q is preferred over the next structure by 331 meV per atom.



#P
Co2RuAu | the Alexandria database | GGA-PBE | optimized geometry; symmetry = I4/mmm (139)
1.0
-1.7758 3.9724 1.2762
-3.9380 -1.0447 1.9908
4.1405 -1.6691 0.7954
Ru Au Co
1 1 2
Direct
0.2500 0.7500 0.5000
0.7500 0.2500 0.5000
0.5000 0.5000 0.0000
0.0000 0.0000 0.0000



#Q
Co2RuAu | the Alexandria database | GGA-PBE | optimized geometry; symmetry = R3m (160)
1.0
8.8432 0.0064 0.0038
8.4289 2.6751 0.0038
8.4289 1.3086 2.3332
Co Ru Au
2 1 1
Direct
0.9915 0.9915 0.9915
0.2529 0.2529 0.2529
0.5089 0.5089 0.5089
0.7467 0.7467 0.7467



#R
Co2RuAu | the Alexandria database | GGA-PBE | optimized geometry; symmetry = I-42d (122)
1.0
6.6521 0.0000 0.0000
0.0000 6.6521 0.0000
3.3261 3.3261 2.6845
Au Co Ru
2 4 2
Direct
0.7500 0.2500 0.5000
0.0000 0.0000 0.0000
0.5936 0.1250 0.2500
0.1564 0.6250 0.2500
0.3750 0.4064 0.7500
0.8750 0.8436 0.7500
0.2500 0.7500 0.5000
0.5000 0.5000 0.0000



On energetic grounds, #Q is preferred over the next structure by 16 meV per atom.



#P
Co2RuAu | the Alexandria database | GGA-PBE | optimized geometry; symmetry = P4mm (99)
1.0
-2.2715 1.1730 0.8493
-1.3758 -2.2411 -0.5845
1.2534 -2.5691 6.9005
Co Ru Au
2 1 1
Direct
0.0000 0.0000 0.0309
0.5000 0.5000 0.2393
0.0000 0.0000 0.4678
0.5000 0.5000 0.7620



#Q
Co2RuAu | the Alexandria database | GGA-PBE | optimized geometry; symmetry = Fm-3m (225)
1.0
0.0000 3.0200 3.0200
3.0200 0.0000 3.0200
3.0200 3.0200 0.0000
Co Au Ru
2 1 1
Direct
0.7500 0.7500 0.7500
0.2500 0.2500 0.2500
0.5000 0.5000 0.5000
0.0000 0.0000 0.0000



On energetic grounds, #P is preferred over the next structure by 70 meV per atom.



#P
Co2RuAu | the Alexandria database | GGA-PBE | optimized geometry; symmetry = Cmmm (65)
1.0
4.5725 0.0073 0.0000
-1.2848 4.3883 0.0000
0.0000 0.0000 2.7048
Co Au Ru
2 1 1
Direct
0.0000 0.0000 0.0000
0.5000 0.5000 0.0000
0.0000 0.5000 0.5000
0.5000 0.0000 0.5000



#Q
Co2RuAu | the Alexandria database | GGA-PBE | optimized geometry; symmetry = P4/mmm (123)
1.0
-1.2062 -0.2448 3.3630
-1.2786 -3.6312 -0.7229
3.4594 -1.4442 1.1356
Co Au Ru
2 1 1
Direct
0.0000 0.5000 0.5000
0.0000 0.0000 0.0000
0.5000 0.0000 0.5000
0.5000 0.5000 0.0000



On energetic grounds, #Q is preferred over the next structure by 20 meV per atom.



#P
Co2RuAu | the Alexandria database | GGA-PBE | optimized geometry; symmetry = C2/m (12)
1.0
-3.6006 -0.3325 -2.7698
-2.6023 -2.8220 -2.4517
-3.4211 -0.9603 3.2202
Co Au Ru
2 1 1
Direct
0.5058 0.5058 0.4637
0.9942 0.9942 0.0363
0.7500 0.7500 0.7500
0.2500 0.2500 0.2500



#Q
Co2RuAu | the Alexandria database | GGA-PBE | optimized geometry; symmetry = Cm (8)
1.0
4.6786 0.0088 0.0172
3.9062 2.5751 0.0172
0.9285 0.2795 4.5274
Co Ru Au
2 1 1
Direct
0.2564 0.2564 0.2577
0.9874 0.9874 0.0127
0.5101 0.5101 0.4631
0.7461 0.7461 0.7664



On energetic grounds, #Q is preferred over the next structure by 13 meV per atom.



#P
Co2RuAu | the Alexandria database | GGA-PBE | optimized geometry; symmetry = I-4m2 (119)
1.0
4.6992 -0.0005 0.0000
1.6814 4.3881 0.0000
-3.1903 -2.1938 2.6630
Co Ru Au
2 1 1
Direct
0.2500 0.7500 0.5000
0.0000 0.0000 0.0000
0.5000 0.5000 0.0000
0.7500 0.2500 0.5000



#Q
Co2RuAu | the Alexandria database | GGA-PBE | optimized geometry; symmetry = P4/mmm (123)
1.0
2.6960 0.0000 0.0000
0.0000 2.6960 0.0000
0.0000 0.0000 7.3241
Au Ru Co
1 1 2
Direct
0.5000 0.5000 0.7500
0.5000 0.5000 0.2500
0.0000 0.0000 0.4784
0.0000 0.0000 0.0216



#R
Co2RuAu | the Alexandria database | GGA-PBE | optimized geometry; symmetry = Amm2 (38)
1.0
-1.4751 -2.5604 -2.8199
-1.2175 -1.4122 1.9191
-4.6668 2.1506 0.4886
Co Ru Au
2 1 1
Direct
0.5000 0.0593 0.2573
0.0000 0.1814 0.0120
0.0000 0.4601 0.4537
0.5000 0.7992 0.7769



#S
Co2RuAu | the Alexandria database | GGA-PBE | optimized geometry; symmetry = P2/m (10)
1.0
3.6507 0.0000 0.0000
0.0000 2.6465 0.4387
0.0000 1.5276 5.8288
Co Au Ru
2 1 1
Direct
0.0000 0.5337 0.4689
0.0000 0.9663 0.0311
0.5000 0.7500 0.7500
0.5000 0.2500 0.2500



On energetic grounds, #Q is preferred over the next structure by 19 meV per atom.



#P
Co2RuAu | the Alexandria database | GGA-PBE | optimized geometry; symmetry = R-3m (166)
1.0
-2.0113 -7.5410 -4.0333
0.4198 -7.1056 -5.1491
0.2342 -8.3421 -2.7447
Au Ru Co
1 1 2
Direct
0.7500 0.7500 0.7500
0.2500 0.2500 0.2500
0.5054 0.5054 0.5054
0.9946 0.9946 0.9946



#Q
Co2RuAu | the Alexandria database | GGA-PBE | optimized geometry; symmetry = F-43m (216)
1.0
4.3056 0.0000 0.0000
2.1528 3.7288 0.0000
2.1528 1.2429 3.5155
Ru Au Co
1 1 2
Direct
0.7500 0.7500 0.7500
0.5000 0.5000 0.5000
0.0000 0.0000 0.0000
0.2500 0.2500 0.2500



On energetic grounds, #P is preferred over the next structure by 186 meV per atom.



#P
Co2Ru2Au | the Alexandria database | GGA-PBE | optimized geometry; symmetry = P4/mbm (127)
1.0
7.1538 0.0000 0.0000
0.0000 7.1538 0.0000
0.0000 0.0000 2.6818
Ru Co Au
4 4 2
Direct
0.1697 0.6697 0.5000
0.8303 0.3303 0.5000
0.6697 0.8303 0.5000
0.3303 0.1697 0.5000
0.8787 0.6213 0.0000
0.6213 0.1213 0.0000
0.3787 0.8787 0.0000
0.1213 0.3787 0.0000
0.5000 0.5000 0.0000
0.0000 0.0000 0.0000



#Q
Co2Ru2Au | the Alexandria database | GGA-PBE | optimized geometry; symmetry = P4/mbm (127)
1.0
-3.0774 4.5356 -4.7382
-6.5589 -2.0833 2.2657
0.0206 1.9341 1.8380
Ru Co Au
4 4 2
Direct
0.3739 0.8739 0.0000
0.8739 0.6261 0.0000
0.6261 0.1261 0.0000
0.1261 0.3739 0.0000
0.1663 0.6663 0.5000
0.8337 0.3337 0.5000
0.6663 0.8337 0.5000
0.3337 0.1663 0.5000
0.0000 0.0000 0.0000
0.5000 0.5000 0.0000



On energetic grounds, #P is preferred over the next structure by 48 meV per atom.